Record 1
The following is a DFT calculation (PBE) of an optimized crystal structure of AsW2Cl.

Magnetic moment in μB per cell: 0.000
D(E_F) in states/eV per atom: 0.839
Raw formation energy in eV per atom: 0.231
Energy above the lowest structure with this stoichiometry in eV/atom: 0.243

Lattice parameters (Å, degrees): 3.1172 3.1172 7.9579 90.00 90.00 90.00
Fractional coordinates of all 4 atoms:
As1 0.0000 0.0000 0.4193
W1 0.0000 0.0000 0.0356
W2 0.5000 0.5000 0.2371
Cl1 0.5000 0.5000 0.8080


Record 2
The following is a DFT calculation (PBE) of an optimized crystal structure of Hf3NbS.

Magnetic moment in μB per cell: 0.000
D(E_F) in states/eV per atom: 0.627
Raw formation energy in eV per atom: -0.232
Energy above the lowest structure with this stoichiometry in eV/atom: 0.212

Lattice parameters (Å, degrees): 4.7382 4.7382 4.7382 90.00 90.00 90.00
Fractional coordinates of all 5 atoms:
Nb1 0.5000 0.5000 0.5000
Hf1 0.0000 0.5000 0.0000
Hf2 0.0000 0.0000 0.5000
Hf3 0.5000 0.0000 0.0000
S1 0.0000 0.0000 0.0000


Record 3
The following is a DFT calculation (PBE) of an optimized crystal structure of Zn2TeBr.

Magnetic moment in μB per cell: 0.000
D(E_F) in states/eV per atom: 0.437
Raw formation energy in eV per atom: -0.014
Energy above the lowest structure with this stoichiometry in eV/atom: 0.259

Lattice parameters (Å, degrees): 3.4420 3.4420 9.4297 90.00 90.00 115.09
Fractional coordinates of all 4 atoms:
Br1 0.0000 0.0000 0.4229
Te1 0.5000 0.5000 0.8066
Zn1 0.0000 0.0000 0.0304
Zn2 0.5000 0.5000 0.2401


Record 4
The following is a DFT calculation (PBE) of an optimized crystal structure of RbGeNF2.

Magnetic moment in μB per cell: 0.000
D(E_F) in states/eV per atom: 0.247
Raw formation energy in eV per atom: -1.278
Energy above the lowest structure with this stoichiometry in eV/atom: 0.000

Lattice parameters (Å, degrees): 4.5409 4.5409 3.4526 90.00 90.00 90.00
Fractional coordinates of all 5 atoms:
Ge1 0.0000 0.0000 0.0000
N1 0.0000 0.0000 0.5000
Rb1 0.5000 0.5000 0.5000
F1 0.0000 0.5000 0.0000
F2 0.5000 0.0000 0.0000


Record 5
The following is a DFT calculation (PBE) of an optimized crystal structure of Cs12K3H5.

Magnetic moment in μB per cell: 0.026
E in eV per atom: -1.493
D(E_F) in states/eV per atom: 0.773

Lattice parameters (Å, degrees): 19.1513 19.1513 19.1513 109.47 109.47 109.47
Fractional coordinates of all 80 atoms:
K1 0.7500 0.3750 0.1250
K2 0.8750 0.7500 0.1250
K3 0.3750 0.7500 0.6250
K4 0.2500 0.1250 0.3750
K5 0.8750 0.1250 0.2500
K6 0.3750 0.6250 0.2500
K7 0.6250 0.3750 0.7500
K8 0.1250 0.8750 0.7500
K9 0.7500 0.8750 0.6250
K10 0.6250 0.2500 0.3750
K11 0.1250 0.2500 0.8750
K12 0.2500 0.6250 0.8750
H1 0.1250 0.3750 0.2500
H2 0.0000 0.5000 0.0000
H3 0.0000 0.0000 0.0000
H4 0.3750 0.2500 0.1250
H5 0.5000 0.0000 0.5000
H6 0.5000 0.5000 0.0000
H7 0.1250 0.7500 0.3750
H8 0.7500 0.1250 0.8750
H9 0.7500 0.6250 0.3750
H10 0.3750 0.1250 0.7500
H11 0.6250 0.8750 0.2500
H12 0.5000 0.5000 0.5000
H13 0.5000 0.0000 0.0000
H14 0.0000 0.0000 0.5000
H15 0.2500 0.3750 0.6250
H16 0.2500 0.8750 0.1250
H17 0.0000 0.5000 0.5000
H18 0.8750 0.2500 0.6250
H19 0.6250 0.7500 0.8750
H20 0.8750 0.6250 0.7500
Cs1 0.6821 0.0997 0.9909
Cs2 0.3088 0.4909 0.3912
Cs3 0.0091 0.4003 0.3179
Cs4 0.4909 0.1821 0.0997
Cs5 0.5824 0.6821 0.6912
Cs6 0.0091 0.6088 0.1912
Cs7 0.3088 0.8179 0.4176
Cs8 0.1088 0.9176 0.0997
Cs9 0.6088 0.0091 0.6912
Cs10 0.6821 0.5824 0.1912
Cs11 0.8179 0.5091 0.4003
Cs12 0.8088 0.8912 0.9909
Cs13 0.0997 0.6821 0.4909
Cs14 0.4003 0.3912 0.0824
Cs15 0.0824 0.8912 0.4003
Cs16 0.4176 0.0997 0.6088
Cs17 0.0824 0.1912 0.1821
Cs18 0.5091 0.6912 0.1088
Cs19 0.8088 0.9176 0.3179
Cs20 0.0997 0.4176 0.1088
Cs21 0.4003 0.0091 0.8179
Cs22 0.6088 0.5997 0.4176
Cs23 0.8912 0.8088 0.4909
Cs24 0.8179 0.3088 0.9176
Cs25 0.3912 0.4003 0.5824
Cs26 0.1088 0.1912 0.5091
Cs27 0.1821 0.6912 0.0824
Cs28 0.1912 0.0824 0.6821
Cs29 0.5997 0.9909 0.1821
Cs30 0.9003 0.5824 0.8912
Cs31 0.4909 0.3088 0.8912
Cs32 0.5824 0.9003 0.3912
Cs33 0.9176 0.8088 0.8179
Cs34 0.9176 0.1088 0.5997
Cs35 0.9003 0.3179 0.5091
Cs36 0.1912 0.1088 0.0091
Cs37 0.5997 0.6088 0.9176
Cs38 0.3912 0.9909 0.3088
Cs39 0.3179 0.4176 0.8088
Cs40 0.1821 0.4909 0.5997
Cs41 0.8912 0.0824 0.9003
Cs42 0.6912 0.1821 0.5824
Cs43 0.5091 0.8179 0.9003
Cs44 0.9909 0.3912 0.8088
Cs45 0.4176 0.3179 0.3088
Cs46 0.9909 0.5997 0.6821
Cs47 0.6912 0.5091 0.6088
Cs48 0.3179 0.9003 0.0091


Record 6
The following is a DFT calculation (PBE) of an optimized crystal structure of La4Pr15Ho.

Magnetic moment in μB per cell: 0.000
D(E_F) in states/eV per atom: 1.646
Formation energy from the elements in meV/atom: 14

Lattice parameters (Å, degrees): 5.2580 5.2580 26.2206 90.00 90.00 90.00
Fractional coordinates of all 20 atoms:
La1 0.0000 0.0000 0.1986
La2 0.0000 0.0000 0.3993
La3 0.0000 0.0000 0.6007
La4 0.0000 0.0000 0.8014
Pr1 0.5000 0.5000 0.0000
Pr2 0.5000 0.5000 0.1977
Pr3 0.5000 0.5000 0.3995
Pr4 0.5000 0.5000 0.6005
Pr5 0.5000 0.5000 0.8023
Pr6 0.5000 0.0000 0.0976
Pr7 0.5000 0.0000 0.2990
Pr8 0.5000 0.0000 0.5000
Pr9 0.5000 0.0000 0.7010
Pr10 0.5000 0.0000 0.9024
Pr11 0.0000 0.5000 0.0976
Pr12 0.0000 0.5000 0.2990
Pr13 0.0000 0.5000 0.5000
Pr14 0.0000 0.5000 0.7010
Pr15 0.0000 0.5000 0.9024
Ho1 0.0000 0.0000 0.0000


Repeat the fourth record exactly.
The following is a DFT calculation (PBE) of an optimized crystal structure of RbGeNF2.

Magnetic moment in μB per cell: 0.000
D(E_F) in states/eV per atom: 0.247
Raw formation energy in eV per atom: -1.278
Energy above the lowest structure with this stoichiometry in eV/atom: 0.000

Lattice parameters (Å, degrees): 4.5409 4.5409 3.4526 90.00 90.00 90.00
Fractional coordinates of all 5 atoms:
Ge1 0.0000 0.0000 0.0000
N1 0.0000 0.0000 0.5000
Rb1 0.5000 0.5000 0.5000
F1 0.0000 0.5000 0.0000
F2 0.5000 0.0000 0.0000